Here is an optimized crystal structure of PrNd2Sm2Y6 from Alexandria. Energies are from PBE-GGA.

## Properties
E_tot   -0.40703 Ry/atom
Symmetry   Cmmm
M_tot   0.00 μB per cell

abc: 6.7280 6.7280 10.6779
angles: 90.00 90.00 129.27
With the nearest neighbours (Å) after each atom.
Atoms (fractional coordinates):
1 Pr 0.0000 0.0000 0.0000  6 Sm 3.57-3.82, 8 Y 3.64-3.66
2 Nd 0.3673 0.6327 0.5000  1 Nd 3.23, 4 Y 3.41-3.51
3 Nd 0.6327 0.3673 0.5000  1 Nd 3.23, 4 Y 3.41-3.51
4 Sm 0.2935 0.7065 0.0000  2 Sm 3.07, 2 Y 3.35
5 Sm 0.7065 0.2935 0.0000  2 Sm 3.07, 2 Y 3.35
6 Y 0.1520 0.8480 0.2954  3 Nd 3.41-3.62, 5 Y 3.55-3.74, 1 Sm 3.59, 1 Pr 3.66
7 Y 0.1520 0.8480 0.7046  3 Nd 3.41-3.62, 5 Y 3.55-3.74, 1 Sm 3.59, 1 Pr 3.66
8 Y 0.5000 0.5000 0.2082  2 Sm 3.35, 2 Nd 3.51, 4 Y 3.55, 2 Pr 3.64
9 Y 0.5000 0.5000 0.7918  2 Sm 3.35, 2 Nd 3.51, 4 Y 3.55, 2 Pr 3.64
10 Y 0.8480 0.1520 0.2954  3 Nd 3.41-3.62, 5 Y 3.55-3.74, 1 Sm 3.59, 1 Pr 3.66
11 Y 0.8480 0.1520 0.7046  3 Nd 3.41-3.62, 5 Y 3.55-3.74, 1 Sm 3.59, 1 Pr 3.66